Record 1
{"formula": "TbThPtSe", "functional": "GGA-PBE", "state": "relaxed", "mass_density_g_cm3": 10.6, "final_energy_ev_per_fu": -26.92, "total_magnetization_mub_per_fu": 0.00, "formation_energy_uncorrected_mev_per_atom": -1335, "lattice_angstrom": [[3.9997, 0.0000, 0.0000], [-1.9998, 3.4638, 0.0000], [0.0000, 0.0000, 22.6215]], "species": ["Tb", "Tb", "Tb", "Th", "Th", "Th", "Pt", "Pt", "Pt", "Se", "Se", "Se"], "fractional_positions": [[0.0000, 0.0000, 0.0000], [0.3333, 0.6667, 0.6667], [0.6667, 0.3333, 0.3333], [0.0000, 0.0000, 0.1619], [0.3333, 0.6667, 0.8285], [0.6667, 0.3333, 0.4952], [0.0000, 0.0000, 0.7504], [0.3333, 0.6667, 0.4171], [0.6667, 0.3333, 0.0838], [0.0000, 0.0000, 0.5842], [0.3333, 0.6667, 0.2509], [0.6667, 0.3333, 0.9175]]}


Record 2
{"formula": "TcPt2Se", "functional": "GGA-PBE", "state": "relaxed", "mass_density_g_cm3": 14.9, "final_energy_ev_per_fu": -24.87, "total_magnetization_mub_per_fu": 0.00, "formation_energy_uncorrected_mev_per_atom": 266, "lattice_angstrom": [[4.2403, 0.0000, 0.0000], [0.0000, 4.2403, 0.0000], [0.0000, 0.0000, 7.0491]], "species": ["Tc", "Tc", "Pt", "Pt", "Pt", "Pt", "Se", "Se"], "fractional_positions": [[0.0000, 0.0000, 0.0000], [0.5000, 0.5000, 0.5000], [0.0000, 0.0000, 0.5000], [0.0000, 0.5000, 0.7500], [0.5000, 0.0000, 0.2500], [0.5000, 0.5000, 0.0000], [0.0000, 0.5000, 0.2500], [0.5000, 0.0000, 0.7500]]}